(1)
First-principles (GGA-PBE) data for YSc2Co after structural relaxation, as listed in Alexandria.

Lattice parameters (Å, degrees): 6.0423 6.0423 8.7257 90.00 90.00 146.26
Fractional positions:
Y 0.0729 0.9271 0.7500
Y 0.9271 0.0729 0.2500
Sc 0.3547 0.6453 0.5703
Sc 0.3547 0.6453 0.9297
Sc 0.6453 0.3547 0.0703
Sc 0.6453 0.3547 0.4297
Co 0.2428 0.7572 0.2500
Co 0.7572 0.2428 0.7500

Results
N(E_F) (states/eV per atom): 1.4671
VASP energy (eV/atom): -6.73
Space-group type: Cmcm
Energy relative to the elements (meV/atom): -174.0
Volume (Å³/cell): 177
Excess energy over the best structure of this formula in the dataset (eV per formula unit): 0.066



(2)
First-principles (GGA-PBE) data for YScCo2 after structural relaxation, as listed in Alexandria.

Lattice parameters (Å, degrees): 3.5294 3.5294 5.8295 90.00 90.00 90.00
Fractional positions:
Y 0.0000 0.0000 0.0000
Sc 0.5000 0.5000 0.6076
Co 0.0000 0.0000 0.4739
Co 0.5000 0.5000 0.1864

Results
N(E_F) (states/eV per atom): 0.9492
VASP energy (eV/atom): -6.63
Space-group type: P4mm
Energy relative to the elements (meV/atom): 122.8
Volume (Å³/cell): 73
Excess energy over the best structure of this formula in the dataset (eV per formula unit): 1.329



(3)
First-principles (GGA-PBE) data for Y2ScCo after structural relaxation, as listed in Alexandria.

Lattice parameters (Å, degrees): 5.0610 5.0610 5.0610 60.00 60.00 60.00
Fractional positions:
Y 0.2500 0.2500 0.2500
Y 0.7500 0.7500 0.7500
Sc 0.0000 0.0000 0.0000
Co 0.5000 0.5000 0.5000

Results
N(E_F) (states/eV per atom): 1.4093
VASP energy (eV/atom): -6.38
Space-group type: Fm-3m
Energy relative to the elements (meV/atom): 210.0
Volume (Å³/cell): 92
Excess energy over the best structure of this formula in the dataset (eV per formula unit): 1.496